Entry 1:
A geometry-optimized Ce4PuSn5 structure, computed with PBE.

It has space group P4/mmm (No. 123), with a = 4.165 Å, b = 4.165 Å, c = 15.688 Å, α = 90.00°, β = 90.00° and γ = 90.00°. The inequivalent atoms are Ce at (0.000, 0.000, 0.101), Ce at (0.000, 0.000, 0.307), Pu at (0.000, 0.000, 0.500), Sn at (0.500, 0.500, 0.000), Sn at (0.500, 0.500, 0.203) and Sn at (0.500, 0.500, 0.403).

The value obtained for the density of states at the Fermi level is 21.73 states/eV/f.u.


Entry 2:
A geometry-optimized CePuSn2 structure, computed with PBE.

It has space group P4/mmm (No. 123), with a = 4.808 Å, b = 4.808 Å, c = 4.636 Å, α = 90.00°, β = 90.00° and γ = 90.00°. The inequivalent atoms are Ce at (0.000, 0.000, 0.000), Pu at (0.500, 0.500, 0.000) and Sn at (0.000, 0.500, 0.500).

The value obtained for the density of states at the Fermi level is 12.05 states/eV/f.u.


Entry 3:
A geometry-optimized CePuSn2 structure, computed with PBE.

It has space group R-3m (No. 166, hexagonal axes), with a = 3.4339 Å, b = 3.4339 Å, c = 32.2254 Å, α = 90.00°, β = 90.00° and γ = 120.00°. The inequivalent atoms are Ce at (0.0000, 0.0000, 0.0000), Pu at (0.0000, 0.0000, 0.5000) and Sn at (0.0000, 0.0000, 0.2494).

The value obtained for the density of states at the Fermi level is 12.60 states/eV/f.u.


Entry 4:
A geometry-optimized CePu2Sn2 structure, computed with PBE.

It has space group P6_3/mmc (No. 194), with a = 4.2246 Å, b = 4.2246 Å, c = 16.6603 Å, α = 90.00°, β = 90.00° and γ = 120.00°. The inequivalent atoms are Ce at (0.3333, 0.6667, 0.2500), Pu at (0.3333, 0.6667, 0.5034) and Sn at (0.0000, 0.0000, 0.1237).

The value obtained for the density of states at the Fermi level is 13.27 states/eV/f.u. The energy above the most stable polymorph in this dataset comes out at 1.46 eV/f.u.


Number 1: electronic total energy -6.376 eV/atom, size of the total moment 4.94 μB/cell, energy relative to the elements -568 meV/atom. Number 2: electronic total energy -7.567 eV/atom, size of the total moment 7.05 μB/cell, energy relative to the elements -499 meV/atom. Number 3: electronic total energy -7.336 eV/atom, size of the total moment 15.97 μB/cell, energy relative to the elements -268 meV/atom. Number 4: electronic total energy -8.587 eV/atom, size of the total moment 7.39 μB/cell, energy relative to the elements -67 meV/atom.